#a
Cr3RuC, relaxed, DFT PBE; total moment = 9.03 μB/cell
1.0
-0.544 -1.851 -4.208
-2.531 -3.417 1.831
-3.838 2.516 -0.610
Cr C Ru
3 1 1
Direct
0.500 0.000 0.000
0.000 0.500 0.000
0.000 0.000 0.500
0.500 0.500 0.500
0.000 0.000 0.000



#b
Cr3RuC, relaxed, DFT PBE; total moment = 0.00 μB/cell
1.0
3.833 0.000 0.000
0.000 3.833 0.000
0.000 0.000 3.833
Cr C Ru
3 1 1
Direct
0.500 0.000 0.000
0.000 0.500 0.000
0.000 0.000 0.500
0.000 0.000 0.000
0.500 0.500 0.500



Most stable: #b



#a
TaCrRu2C, relaxed, DFT PBE; total moment = 0.00 μB/cell
1.0
4.017 0.000 0.000
0.000 4.017 0.000
0.000 0.000 3.983
Ru Ta Cr C
2 1 1 1
Direct
0.500 0.000 0.000
0.000 0.500 0.000
0.500 0.500 0.500
0.000 0.000 0.500
0.000 0.000 0.000



#b
TaCrRu2C, relaxed, DFT PBE; total moment = 0.45 μB/cell
1.0
4.684 0.000 0.000
0.000 4.590 0.000
0.000 0.000 4.684
Cr Ta C Ru
1 1 1 2
Direct
0.000 0.500 0.000
0.000 0.000 0.000
0.500 0.500 0.500
0.500 0.000 0.000
0.000 0.000 0.500



Most stable: #a



#a
CrC3S, relaxed, DFT PBE; total moment = 0.00 μB/cell
1.0
-0.348 3.495 0.540
-1.740 -0.642 3.031
3.078 0.032 1.775
C S Cr
3 1 1
Direct
0.000 0.000 0.500
0.500 0.000 0.000
0.000 0.500 0.000
0.000 0.000 0.000
0.500 0.500 0.500



#b
CrC3S, relaxed, DFT PBE; total moment = 0.00 μB/cell
1.0
-2.683 -0.221 2.795
2.575 -1.726 2.335
1.110 3.469 1.340
Cr S C
1 1 3
Direct
0.000 0.000 0.000
0.500 0.500 0.500
0.000 0.500 0.000
0.000 0.000 0.500
0.500 0.000 0.000



Most stable: #b



#a
CrSb2CS, relaxed, DFT PBE; total moment = 4.32 μB/cell
1.0
5.266 0.000 0.000
0.000 4.393 0.000
0.000 0.000 5.266
S C Sb Cr
1 1 2 1
Direct
0.000 0.000 0.000
0.500 0.500 0.500
0.000 0.000 0.500
0.500 0.000 0.000
0.000 0.500 0.000



#b
CrSb2CS, relaxed, DFT PBE; total moment = 0.06 μB/cell
1.0
4.841 0.000 0.000
0.000 3.770 0.000
0.000 0.000 4.841
C S Cr Sb
1 1 1 2
Direct
0.000 0.000 0.000
0.000 0.500 0.000
0.500 0.500 0.500
0.500 0.000 0.000
0.000 0.000 0.500



Most stable: #b



#a
CrSb3C, relaxed, DFT PBE; total moment = 3.56 μB/cell
1.0
4.734 0.000 0.000
0.000 4.734 0.000
0.000 0.000 4.734
Cr Sb C
1 3 1
Direct
0.500 0.500 0.500
0.000 0.500 0.000
0.000 0.000 0.500
0.500 0.000 0.000
0.000 0.000 0.000



#b
CrSb3C, relaxed, DFT PBE; total moment = 1.27 μB/cell
1.0
-3.147 2.803 2.578
-3.804 -2.468 -1.959
0.177 -3.233 3.731
Sb Cr C
3 1 1
Direct
0.500 0.000 0.000
0.000 0.500 0.000
0.000 0.000 0.500
0.000 0.000 0.000
0.500 0.500 0.500



Most stable: #a



#a
CrSbTe2C, relaxed, DFT PBE; total moment = 0.01 μB/cell
1.0
-2.812 -3.730 -0.335
3.627 -2.817 0.919
-0.920 0.288 4.514
Te Sb Cr C
2 1 1 1
Direct
0.500 0.000 0.000
0.000 0.500 0.000
0.000 0.000 0.500
0.500 0.500 0.500
0.000 0.000 0.000



#b
CrSbTe2C, relaxed, DFT PBE; total moment = 1.44 μB/cell
1.0
-2.802 -1.855 3.715
-3.148 -1.974 -3.359
2.730 -4.249 -0.062
Te Sb C Cr
2 1 1 1
Direct
0.000 0.500 0.000
0.500 0.000 0.000
0.000 0.000 0.500
0.500 0.500 0.500
0.000 0.000 0.000



Most stable: #a



#a
ScCrC3, relaxed, DFT PBE; total moment = 0.00 μB/cell
1.0
3.779 0.000 0.000
0.000 3.779 0.000
0.000 0.000 3.779
C Cr Sc
3 1 1
Direct
0.000 0.500 0.000
0.500 0.000 0.000
0.000 0.000 0.500
0.000 0.000 0.000
0.500 0.500 0.500



#b
ScCrC3, relaxed, DFT PBE; total moment = 0.60 μB/cell
1.0
-0.905 -3.804 1.120
1.826 -1.420 -3.345
3.519 -0.242 2.024
Sc Cr C
1 1 3
Direct
0.000 0.000 0.000
0.500 0.500 0.500
0.000 0.000 0.500
0.000 0.500 0.000
0.500 0.000 0.000



Most stable: #a



#a
Cr3CSe, relaxed, DFT PBE; total moment = 3.61 μB/cell
1.0
-1.966 -2.595 2.183
1.701 -2.938 -1.959
2.933 -0.035 2.600
Cr Se C
3 1 1
Direct
0.500 0.000 0.000
0.000 0.000 0.500
0.000 0.500 0.000
0.500 0.500 0.500
0.000 0.000 0.000



#b
Cr3CSe, relaxed, DFT PBE; total moment = 0.00 μB/cell
1.0
-1.818 -3.448 1.895
3.859 -1.157 1.598
-0.765 2.357 3.556
Cr C Se
3 1 1
Direct
0.000 0.000 0.500
0.000 0.500 0.000
0.500 0.000 0.000
0.500 0.500 0.500
0.000 0.000 0.000



Most stable: #a



#a
CrSiC, relaxed, DFT PBE; total moment = 0.00 μB/cell
1.0
-1.186 -1.150 -2.442
2.553 -0.231 -1.131
0.630 -6.472 2.742
Si C Cr
2 2 2
Direct
0.500 0.000 0.029
0.500 0.500 0.529
0.000 0.000 0.448
0.000 0.500 0.948
0.000 0.000 0.742
0.000 0.500 0.242



#b
CrSiC, relaxed, DFT PBE; total moment = 0.20 μB/cell
1.0
-1.377 2.392 0.199
-1.291 -2.268 -0.920
-1.169 -1.017 4.147
Cr C Si
1 1 1
Direct
0.000 0.000 0.574
0.667 0.333 0.294
0.333 0.667 0.034



Most stable: #b



#a
CrSiC, relaxed, DFT PBE; total moment = 0.57 μB/cell
1.0
5.044 0.000 -0.015
0.000 2.803 0.000
-1.534 0.000 4.601
C Si Cr
2 2 2
Direct
0.654 0.000 0.089
0.654 0.500 0.589
0.033 0.000 0.216
0.033 0.500 0.716
0.412 0.000 0.675
0.412 0.500 0.175



#b
CrSiC, relaxed, DFT PBE; total moment = 0.00 μB/cell
1.0
-1.167 -1.360 2.023
-0.231 -2.171 -1.593
3.760 -1.333 1.272
C Si Cr
1 1 1
Direct
0.500 0.500 0.388
0.500 0.500 0.944
0.000 0.000 0.570



#c
CrSiC, relaxed, DFT PBE; total moment = 0.09 μB/cell
1.0
2.750 0.000 0.000
-1.375 2.382 0.000
0.000 0.000 4.916
Si Cr C
1 1 1
Direct
0.000 0.000 0.029
0.667 0.333 0.414
0.000 0.000 0.655



Most stable: #b



#a
CrSiC, relaxed, DFT PBE; total moment = 0.01 μB/cell
1.0
3.007 0.000 0.000
-1.504 2.604 0.000
0.000 0.000 11.354
Si Cr C
3 3 3
Direct
0.000 0.000 0.642
0.333 0.667 0.309
0.667 0.333 0.975
0.000 0.000 0.161
0.333 0.667 0.828
0.667 0.333 0.495
0.667 0.333 0.706
0.000 0.000 0.373
0.333 0.667 0.039



#b
CrSiC, relaxed, DFT PBE; total moment = 0.00 μB/cell
1.0
-0.433 0.267 2.634
-1.255 -2.405 0.037
3.689 -1.912 0.800
Si Cr C
1 1 1
Direct
0.500 0.500 0.019
0.000 0.500 0.535
0.500 0.000 0.348



#c
CrSiC, relaxed, DFT PBE; total moment = 0.00 μB/cell
1.0
3.044 0.000 0.000
0.000 3.223 0.000
0.000 0.000 6.683
Cr Si C
2 2 2
Direct
0.500 0.000 0.815
0.000 0.500 0.315
0.000 0.500 0.928
0.500 0.000 0.428
0.000 0.000 0.582
0.500 0.500 0.082



Most stable: #b



#a
CrSiC, relaxed, DFT PBE; total moment = 0.00 μB/cell
1.0
-0.541 -1.496 2.978
0.803 -2.802 -1.262
6.358 1.062 1.690
C Si Cr
2 2 2
Direct
0.500 0.500 0.927
0.500 0.000 0.427
0.000 0.000 0.536
0.000 0.500 0.036
0.500 0.500 0.633
0.500 0.000 0.133



#b
CrSiC, relaxed, DFT PBE; total moment = 0.48 μB/cell
1.0
2.767 0.000 0.000
-1.384 2.397 0.000
0.000 0.000 13.302
Si C Cr
3 3 3
Direct
0.333 0.667 0.317
0.000 0.000 0.650
0.667 0.333 0.983
0.000 0.000 0.408
0.333 0.667 0.074
0.667 0.333 0.741
0.667 0.333 0.167
0.000 0.000 0.833
0.333 0.667 0.500



Most stable: #b